Material: LiFe2P5O16
Method: DFT, GGA+U
State: relaxed

Computed properties:
As for the distance to the lowest polymorph of the same formula: 0.44 eV/f.u.

The structure in POSCAR format:
```
LiFe2P5O16
1.0
7.6266 0.0000 0.0000
0.0000 9.5784 0.0000
-3.7938 0.0000 9.6511
Li Fe P O
2 4 10 32
Direct
0.0000 0.1172 0.0000
0.0000 0.8828 0.5000
0.4806 0.3606 0.2371
0.4806 0.6394 0.7371
0.9171 0.1396 0.6303
0.9171 0.8604 0.1303
0.2407 0.3627 0.6448
0.2407 0.6373 0.1448
0.2867 0.2030 0.8994
0.2867 0.7970 0.3994
0.3453 0.0447 0.2621
0.3453 0.9553 0.7621
0.5724 0.3773 0.5705
0.5724 0.6227 0.0705
0.7352 0.0859 0.2903
0.7352 0.9141 0.7903
0.0489 0.2967 0.5809
0.0489 0.7033 0.0809
0.0719 0.1891 0.8425
0.0719 0.8109 0.3425
0.1722 0.0087 0.6451
0.1722 0.9913 0.1451
0.2455 0.4817 0.1670
0.2455 0.5183 0.6670
0.3464 0.1968 0.2974
0.3464 0.8032 0.7974
0.3534 0.2888 0.7942
0.3534 0.7112 0.2942
0.3636 0.3164 0.5581
0.3636 0.6836 0.0581
0.3719 0.2599 0.0418
0.3719 0.7401 0.5418
0.3733 0.0490 0.8986
0.3733 0.9510 0.3986
0.5301 0.0057 0.2312
0.5301 0.9943 0.7312
0.5497 0.4308 0.4275
0.5497 0.5692 0.9275
0.6197 0.4916 0.6796
0.6197 0.5084 0.1796
0.7010 0.2497 0.6172
0.7010 0.7503 0.1172
0.7041 0.2415 0.2773
0.7041 0.7585 0.7773
0.8299 0.0397 0.4430
0.8299 0.9603 0.9430
0.8380 0.0304 0.2003
0.8380 0.9696 0.7003
```